Record 1
A plane-wave DFT calculation with GGA-PBE was carried out for a relaxed SnHgSeO crystal.

Output
relative energy among the computed polymorphs: 1.263 eV per formula unit
theoretical density: 7.438 Mg/m³

a = 4.037 Å, b = 4.037 Å, c = 11.352 Å
α = 90.00°, β = 90.00°, γ = 90.00°
Sites, in units of the cell vectors:
Sn1 0.250 0.250 0.107
Sn2 0.750 0.750 0.893
Hg1 0.250 0.750 0.500
Hg2 0.750 0.250 0.500
Se1 0.250 0.250 0.670
Se2 0.750 0.750 0.330
O1 0.250 0.250 0.928
O2 0.750 0.750 0.072

Record 2
A plane-wave DFT calculation with GGA-PBE was carried out for a relaxed SnHgSeO crystal.

Output
relative energy among the computed polymorphs: 2.303 eV per formula unit
theoretical density: 6.693 Mg/m³

a = 4.966 Å, b = 4.966 Å, c = 8.334 Å
α = 90.00°, β = 90.00°, γ = 90.00°
Sites, in units of the cell vectors:
Sn1 0.250 0.750 0.000
Sn2 0.750 0.250 0.000
Hg1 0.250 0.250 0.301
Hg2 0.750 0.750 0.699
Se1 0.250 0.250 0.797
Se2 0.750 0.750 0.203
O1 0.250 0.250 0.591
O2 0.750 0.750 0.409

Record 3
A plane-wave DFT calculation with GGA-PBE was carried out for a relaxed SnHgSeO crystal.

Output
relative energy among the computed polymorphs: 0.655 eV per formula unit
theoretical density: 7.696 Mg/m³

a = 3.979 Å, b = 3.979 Å, c = 13.035 Å
α = 90.00°, β = 90.00°, γ = 120.00°
Sites, in units of the cell vectors:
Sn1 0.333 0.667 0.000
Sn2 0.667 0.333 0.500
Hg1 0.000 0.000 0.227
Hg2 0.000 0.000 0.727
Se1 0.333 0.667 0.336
Se2 0.667 0.333 0.836
O1 0.000 0.000 0.055
O2 0.000 0.000 0.555

Record 4
A plane-wave DFT calculation with GGA-PBE was carried out for a relaxed SnHgSeO crystal.

Output
relative energy among the computed polymorphs: 0.420 eV per formula unit
theoretical density: 6.539 Mg/m³

a = 6.014 Å, b = 4.259 Å, c = 16.431 Å
α = 90.00°, β = 90.00°, γ = 90.00°
Sites, in units of the cell vectors:
Sn1 0.055 0.250 0.189
Sn2 0.445 0.750 0.689
Sn3 0.555 0.250 0.311
Sn4 0.945 0.750 0.811
Hg1 0.174 0.750 0.472
Hg2 0.326 0.250 0.972
Hg3 0.674 0.750 0.028
Hg4 0.826 0.250 0.528
Se1 0.173 0.750 0.106
Se2 0.327 0.250 0.606
Se3 0.673 0.750 0.394
Se4 0.827 0.250 0.894
O1 0.226 0.250 0.293
O2 0.274 0.750 0.793
O3 0.726 0.250 0.207
O4 0.774 0.750 0.707